Computed, not measured: a geometry-optimized Rb2CrPbF6 structure at the GGA+U level of DFT.

Space-group type   I4/mmm
Total DFT energy (no corrections)   -50.30 eV/cell
N(E_F)   0.000 states/eV/atom

Lattice parameters (Å, degrees): 6.547 6.547 6.547 122.08 122.08 86.43
Element x y z (fractional)
Rb  0.250  0.750  0.500
Rb  0.750  0.250  0.500
Cr  0.000  0.000  0.000
Pb  0.500  0.500  0.000
F  0.228  0.228  0.456
F  0.228  0.772  0.000
F  0.247  0.247  0.000
F  0.753  0.753  0.000
F  0.772  0.228  0.000
F  0.772  0.772  0.544